MoSe2NF: optimized geometry, PBE+U.

a = 5.063 Å, b = 5.063 Å, c = 3.860 Å
α = 90.00°, β = 90.00°, γ = 90.00°
Space group P4/mmm (No. 123)
Asymmetric unit:
Mo  0.000  0.000  0.000
Se  0.000  0.500  0.000
N  0.000  0.000  0.500
F  0.500  0.500  0.500

Calculated values
E (eV per atom): -4.45
Distance to the lowest polymorph of the same formula (eV/f.u.): 0.000